1.
Re2AgAs: relaxed, GGA-PBE.

Structure (POSCAR):
```
Re2AgAs
1.0
4.078 0.000 0.000
0.000 2.936 0.004
0.000 1.576 5.283
As Re Ag
1 2 1
Cartesian
2.039 3.384 3.965 As
0.000 4.137 5.199 Re
0.000 2.632 2.731 Re
2.039 1.128 1.322 Ag
```

## Properties
- Energy of formation from the pure elements: 0.668 eV per atom
- Energy: -29.7 eV per cell
- Density of states at the Fermi level: 1.057 states/eV per atom

---

2.
Re2AgAs: relaxed, GGA-PBE.

Structure (POSCAR):
```
Re2AgAs
1.0
-4.092 -1.227 -1.227
1.047 -4.252 0.761
-0.961 0.286 2.919
Re As Ag
2 1 1
Cartesian
-1.522 -2.739 -0.233 Re
0.000 0.000 0.000 Re
0.043 -1.983 1.840 As
-2.526 -0.471 0.846 Ag
```

## Properties
- Energy of formation from the pure elements: 0.790 eV per atom
- Energy: -29.2 eV per cell
- Density of states at the Fermi level: 0.938 states/eV per atom

---

3.
Re2AgAs: relaxed, GGA-PBE.

Structure (POSCAR):
```
Re2AgAs
1.0
2.944 0.000 0.000
0.000 3.733 0.000
0.000 0.000 6.040
Re As Ag
2 1 1
Cartesian
0.000 0.000 0.119 Re
1.472 1.867 1.265 Re
1.472 1.867 4.690 As
0.000 0.000 2.986 Ag
```

## Properties
- Energy of formation from the pure elements: 0.482 eV per atom
- Energy: -30.5 eV per cell
- Density of states at the Fermi level: 0.624 states/eV per atom

---

4.
Re2AgAs: relaxed, GGA-PBE.

Structure (POSCAR):
```
Re2AgAs
1.0
-0.534 2.603 -3.634
-4.079 0.485 -1.842
-2.173 3.928 0.345
Re As Ag
2 1 1
Cartesian
-5.089 5.262 -3.848 Re
0.000 0.000 0.000 Re
-1.696 1.754 -1.283 As
-3.393 3.508 -2.565 Ag
```

## Properties
- Energy of formation from the pure elements: 0.755 eV per atom
- Energy: -29.4 eV per cell
- Density of states at the Fermi level: 1.097 states/eV per atom

---

5.
Re2AgAs: relaxed, GGA-PBE.

Structure (POSCAR):
```
Re2AgAs
1.0
5.545 -0.001 -0.005
4.772 2.826 -0.005
1.837 0.503 4.090
Ag Re As
1 2 1
Cartesian
9.115 2.495 3.060 Ag
9.970 2.729 0.159 Re
6.424 1.758 1.872 Re
3.038 0.832 1.020 As
```

## Properties
- Energy of formation from the pure elements: 0.529 eV per atom
- Energy: -30.3 eV per cell
- Density of states at the Fermi level: 0.738 states/eV per atom

---

6.
Re2AgAs: relaxed, GGA-PBE.

Structure (POSCAR):
```
Re2AgAs
1.0
-2.036 4.062 3.061
-0.696 -5.203 1.570
1.506 -0.154 2.307
Ag Re As
1 2 1
Cartesian
-0.265 1.954 2.684 Ag
-1.366 -0.570 2.316 Re
0.000 0.000 0.000 Re
0.405 -2.678 1.938 As
```

## Properties
- Energy of formation from the pure elements: 0.777 eV per atom
- Energy: -29.3 eV per cell
- Density of states at the Fermi level: 0.569 states/eV per atom

---

7.
Re2AgAs: relaxed, GGA-PBE.

Structure (POSCAR):
```
Re2AgAs
1.0
-0.253 2.905 -0.862
-2.974 -1.205 -3.189
-3.519 0.601 3.055
As Re Ag
1 2 1
Cartesian
-3.247 -0.302 -0.067 As
-1.613 0.850 -2.025 Re
0.000 0.000 0.000 Re
-1.886 1.753 1.097 Ag
```

## Properties
- Energy of formation from the pure elements: 0.794 eV per atom
- Energy: -29.2 eV per cell
- Density of states at the Fermi level: 0.918 states/eV per atom

---

8.
ReAg4As: relaxed, GGA-PBE.

Structure (POSCAR):
```
ReAg4As
1.0
0.000 3.836 3.836
3.836 0.000 3.836
3.836 3.836 0.000
Ag As Re
4 1 1
Cartesian
4.798 4.798 2.875 Ag
4.798 2.875 4.798 Ag
2.875 4.798 4.798 Ag
2.875 2.875 2.875 Ag
5.754 5.754 5.754 As
0.000 0.000 0.000 Re
```

## Properties
- Energy of formation from the pure elements: 0.891 eV per atom
- Energy: -23.2 eV per cell
- Density of states at the Fermi level: 0.671 states/eV per atom